Record 1
! La3Dy2ThSe6 | the Alexandria database | GGA-PBE | optimized geometry; values from VASP
&SYSTEM
  ibrav = 0, nat = 12, ntyp = 4
/
ATOMIC_SPECIES
La 138.91 La.upf
Dy 162.50 Dy.upf
Th 232.04 Th.upf
Se 78.96 Se.upf
CELL_PARAMETERS angstrom
9.190 -2.099 0.000
9.190 2.099 0.000
-1.950 0.000 8.245
ATOMIC_POSITIONS crystal
La 0.000 0.000 0.000
La 0.337 0.337 0.667
La 0.663 0.663 0.333
Dy 0.334 0.334 0.168
Dy 0.666 0.666 0.832
Th 0.000 0.000 0.500
Se 0.168 0.168 0.597
Se 0.172 0.172 0.073
Se 0.494 0.494 0.249
Se 0.506 0.506 0.751
Se 0.828 0.828 0.927
Se 0.832 0.832 0.403
! D(E_F), states/eV/cell: 7.13
! DFT total energy, eV per cell: -74.38

Record 2
! CsCuBr2 | the Alexandria database | GGA-PBE | optimized geometry; values from VASP
&SYSTEM
  ibrav = 0, nat = 8, ntyp = 3
/
ATOMIC_SPECIES
Cs 132.91 Cs.upf
Cu 63.55 Cu.upf
Br 79.90 Br.upf
CELL_PARAMETERS angstrom
5.358 0.000 0.000
0.002 8.214 0.000
0.002 0.005 8.214
ATOMIC_POSITIONS crystal
Cs 0.000 0.000 0.000
Cs 0.500 0.499 0.500
Cu 0.255 0.999 0.500
Cu 0.755 0.999 0.500
Br 0.001 0.227 0.373
Br 0.001 0.772 0.627
Br 0.500 0.126 0.728
Br 0.501 0.873 0.272
! D(E_F), states/eV/cell: 0.00
! DFT total energy, eV per cell: -24.88

Record 3
! Ce3ZnSi6Ni2 | the Alexandria database | GGA-PBE | optimized geometry; values from VASP
&SYSTEM
  ibrav = 0, nat = 12, ntyp = 4
/
ATOMIC_SPECIES
Ce 140.12 Ce.upf
Zn 65.41 Zn.upf
Si 28.09 Si.upf
Ni 58.69 Ni.upf
CELL_PARAMETERS angstrom
5.693 0.000 0.000
-2.847 4.930 0.000
0.000 0.000 8.158
ATOMIC_POSITIONS crystal
Ce 0.000 0.000 0.000
Ce 0.333 0.667 0.617
Ce 0.667 0.333 0.383
Zn 0.000 0.000 0.500
Si 0.190 0.380 0.279
Si 0.190 0.810 0.279
Si 0.380 0.190 0.721
Si 0.620 0.810 0.279
Si 0.810 0.190 0.721
Si 0.810 0.620 0.721
Ni 0.333 0.667 0.052
Ni 0.667 0.333 0.948
! D(E_F), states/eV/cell: 13.39
! DFT total energy, eV per cell: -66.44

Record 4
! PrHo2Tl | the Alexandria database | GGA-PBE | optimized geometry; values from VASP
&SYSTEM
  ibrav = 0, nat = 4, ntyp = 3
/
ATOMIC_SPECIES
Pr 140.91 Pr.upf
Ho 164.93 Ho.upf
Tl 204.38 Tl.upf
CELL_PARAMETERS angstrom
0.000 3.892 3.892
3.892 0.000 3.892
3.892 3.892 0.000
ATOMIC_POSITIONS crystal
Pr 0.000 0.000 0.000
Ho 0.250 0.250 0.250
Ho 0.750 0.750 0.750
Tl 0.500 0.500 0.500
! E above lowest polymorph, eV/f.u.: 0.74
! D(E_F), states/eV/cell: 5.85
! ΔH_f (0 K), eV per atom: 0.006

Record 5
! Dy3Er8Th2 | the Alexandria database | GGA-PBE | optimized geometry; values from VASP
&SYSTEM
  ibrav = 0, nat = 13, ntyp = 3
/
ATOMIC_SPECIES
Dy 162.50 Dy.upf
Er 167.26 Er.upf
Th 232.04 Th.upf
CELL_PARAMETERS angstrom
3.663 -10.335 0.000
3.663 10.335 0.000
0.000 0.000 5.611
ATOMIC_POSITIONS crystal
Dy 0.000 0.000 0.000
Dy 0.275 0.275 0.500
Dy 0.725 0.725 0.500
Er 0.139 0.861 0.500
Er 0.172 0.391 0.000
Er 0.335 0.665 0.500
Er 0.391 0.172 0.000
Er 0.609 0.828 0.000
Er 0.665 0.335 0.500
Er 0.828 0.609 0.000
Er 0.861 0.139 0.500
Th 0.245 0.755 0.000
Th 0.755 0.245 0.000
! E above lowest polymorph, eV/f.u.: 1.68
! D(E_F), states/eV/cell: 23.29
! ΔH_f (0 K), eV per atom: 0.279

Record 6
! KScIn2 | the Alexandria database | GGA-PBE | optimized geometry; values from VASP
&SYSTEM
  ibrav = 0, nat = 4, ntyp = 3
/
ATOMIC_SPECIES
K 39.10 K.upf
Sc 44.96 Sc.upf
In 114.82 In.upf
CELL_PARAMETERS angstrom
-2.386 2.386 4.935
2.386 -2.386 4.935
2.386 2.386 -4.935
ATOMIC_POSITIONS crystal
K 0.000 0.000 0.000
Sc 0.250 0.750 0.500
In 0.500 0.500 0.000
In 0.750 0.250 0.500
! E above lowest polymorph, eV/f.u.: 1.41
! D(E_F), states/eV/cell: 2.92
! ΔH_f (0 K), eV per atom: 0.157

Record 7
! Tb3Ho5Tm4 | the Alexandria database | GGA-PBE | optimized geometry; values from VASP
&SYSTEM
  ibrav = 0, nat = 12, ntyp = 3
/
ATOMIC_SPECIES
Tb 158.93 Tb.upf
Ho 164.93 Ho.upf
Tm 168.93 Tm.upf
CELL_PARAMETERS angstrom
6.082 0.000 0.000
0.011 7.032 0.000
0.008 0.002 8.597
ATOMIC_POSITIONS crystal
Tb 0.000 0.000 0.000
Tb 0.166 0.251 0.334
Tb 0.834 0.749 0.666
Ho 0.000 0.500 0.000
Ho 0.334 0.000 0.666
Ho 0.499 0.749 0.000
Ho 0.501 0.251 0.000
Ho 0.666 0.000 0.334
Tm 0.167 0.749 0.334
Tm 0.334 0.500 0.666
Tm 0.666 0.500 0.334
Tm 0.833 0.251 0.666
! E above lowest polymorph, eV/f.u.: 0.00
! D(E_F), states/eV/cell: 15.56
! ΔH_f (0 K), eV per atom: 0.021

Record 8
! Ti3NbRh | the Alexandria database | GGA-PBE | optimized geometry; values from VASP
&SYSTEM
  ibrav = 0, nat = 5, ntyp = 3
/
ATOMIC_SPECIES
Ti 47.87 Ti.upf
Nb 92.91 Nb.upf
Rh 102.91 Rh.upf
CELL_PARAMETERS angstrom
4.658 0.000 0.000
0.000 4.658 0.000
0.000 0.000 4.658
ATOMIC_POSITIONS crystal
Ti 0.000 0.000 0.500
Ti 0.000 0.500 0.000
Ti 0.500 0.000 0.000
Nb 0.000 0.000 0.000
Rh 0.500 0.500 0.500
! E above lowest polymorph, eV/f.u.: 6.58
! D(E_F), states/eV/cell: 9.12
! ΔH_f (0 K), eV per atom: 1.029

Record 9
! La2ZnBr2 | the Alexandria database | GGA-PBE | optimized geometry; values from VASP
&SYSTEM
  ibrav = 0, nat = 10, ntyp = 3
/
ATOMIC_SPECIES
La 138.91 La.upf
Zn 65.41 Zn.upf
Br 79.90 Br.upf
CELL_PARAMETERS angstrom
8.507 0.000 0.000
0.000 8.507 0.000
0.000 0.000 3.926
ATOMIC_POSITIONS crystal
La 0.166 0.334 0.000
La 0.334 0.834 0.000
La 0.666 0.166 0.000
La 0.834 0.666 0.000
Zn 0.000 0.000 0.000
Zn 0.500 0.500 0.000
Br 0.132 0.632 0.500
Br 0.368 0.132 0.500
Br 0.632 0.868 0.500
Br 0.868 0.368 0.500
! E above lowest polymorph, eV/f.u.: 0.00
! D(E_F), states/eV/cell: 8.63

Record 10
! RbHg2Sb2 | the Alexandria database | GGA-PBE | optimized geometry; values from VASP
&SYSTEM
  ibrav = 0, nat = 10, ntyp = 3
/
ATOMIC_SPECIES
Rb 85.47 Rb.upf
Hg 200.59 Hg.upf
Sb 121.76 Sb.upf
CELL_PARAMETERS angstrom
9.091 0.000 0.000
0.000 9.091 0.000
0.000 0.000 3.621
ATOMIC_POSITIONS crystal
Rb 0.000 0.000 0.000
Rb 0.500 0.500 0.000
Hg 0.140 0.360 0.000
Hg 0.360 0.860 0.000
Hg 0.640 0.140 0.000
Hg 0.860 0.640 0.000
Sb 0.153 0.653 0.500
Sb 0.347 0.153 0.500
Sb 0.653 0.847 0.500
Sb 0.847 0.347 0.500
! E above lowest polymorph, eV/f.u.: 0.80
! D(E_F), states/eV/cell: 5.31

Record 11
! AcLa2PmTm | the Alexandria database | GGA-PBE | optimized geometry; values from VASP
&SYSTEM
  ibrav = 0, nat = 10, ntyp = 4
/
ATOMIC_SPECIES
Ac 227.00 Ac.upf
La 138.91 La.upf
Pm 145.00 Pm.upf
Tm 168.93 Tm.upf
CELL_PARAMETERS angstrom
4.105 -6.125 0.000
4.105 6.125 0.000
0.000 0.000 7.614
ATOMIC_POSITIONS crystal
Ac 0.242 0.758 0.750
Ac 0.758 0.242 0.250
La 0.297 0.297 0.000
La 0.297 0.297 0.500
La 0.703 0.703 0.000
La 0.703 0.703 0.500
Pm 0.060 0.940 0.250
Pm 0.940 0.060 0.750
Tm 0.307 0.693 0.250
Tm 0.693 0.307 0.750
! D(E_F), states/eV/cell: 13.24
! ΔH_f (0 K), eV per atom: 0.328

Record 12
! Ac2LaSb | the Alexandria database | GGA-PBE | optimized geometry; values from VASP
&SYSTEM
  ibrav = 0, nat = 4, ntyp = 3
/
ATOMIC_SPECIES
Ac 227.00 Ac.upf
La 138.91 La.upf
Sb 121.76 Sb.upf
CELL_PARAMETERS angstrom
5.216 0.000 0.000
0.000 5.216 0.000
0.000 0.000 5.151
ATOMIC_POSITIONS crystal
Ac 0.000 0.500 0.000
Ac 0.500 0.000 0.000
La 0.000 0.000 0.500
Sb 0.500 0.500 0.500
! E above lowest polymorph, eV/f.u.: 0.00
! D(E_F), states/eV/cell: 3.45